(1)
## HoAgRhF6 (PBE-GGA)

Data for a relaxed HoAgRhF6 crystal.

It has space group P-31c (No. 163), with a = 5.7246 Å, b = 5.7246 Å, c = 10.4622 Å, α = 90.00°, β = 90.00° and γ = 120.00°. The distinct sites, in fractional coordinates, are Ho at (0.3333, 0.6667, 0.2500), Ag at (0.0000, 0.0000, 0.0000), Rh at (0.3333, 0.6667, 0.7500) and F at (0.0025, 0.3556, 0.6386).

The uncorrected formation energy comes out at -2.320 eV per atom.

=====

(2)
## SrHoAgF6 (PBE-GGA)

Data for a relaxed SrHoAgF6 crystal.

It has space group P-31c (No. 163), with a = 6.0059 Å, b = 6.0059 Å, c = 10.4859 Å, α = 90.00°, β = 90.00° and γ = 120.00°. The distinct sites, in fractional coordinates, are Sr at (0.0000, 0.0000, 0.0000), Ho at (0.3333, 0.6667, 0.2500), Ag at (0.3333, 0.6667, 0.7500) and F at (0.0417, 0.3557, 0.1334).

The uncorrected formation energy comes out at -3.335 eV per atom.

=====

(3)
## Ag3I2F2 (PBE-GGA)

Data for a relaxed Ag3I2F2 crystal.

It has space group P-1 (No. 2), with a = 4.0391 Å, b = 6.4670 Å, c = 7.0772 Å, α = 110.89°, β = 106.50° and γ = 90.11°. The distinct sites, in fractional coordinates, are Ag at (0.0000, 0.0000, 0.0000), Ag at (0.2444, 0.7252, 0.4885), I at (0.4001, 0.1770, 0.7972) and F at (0.1676, 0.3374, 0.3370).

The uncorrected formation energy comes out at -0.649 eV per atom.

=====

(4)
## AgIF6 (PBE-GGA)

Data for a relaxed AgIF6 crystal.

It has space group P-1 (No. 2), with a = 5.5870 Å, b = 5.5925 Å, c = 6.2942 Å, α = 63.78°, β = 63.68° and γ = 60.12°. The distinct sites, in fractional coordinates, are Ag at (0.0000, 0.0000, 0.0000), I at (0.5000, 0.5000, 0.5000), F at (0.1418, 0.4135, 0.7186), F at (0.2737, 0.8571, 0.2824) and F at (0.4138, 0.7265, 0.7182).

The uncorrected formation energy comes out at -1.455 eV per atom.